Version P
Co2Pt6Rh PBE relaxed; magnetization = 0.584 μB per atom; ρ = 15.0 Mg/m³; SG = R3
1.0
5.2319 0.0000 0.0000
2.6160 4.5309 0.0000
2.6160 1.5103 6.4820
Co Pt Rh
2 6 1
Cartesian
7.8479 4.5309 5.3975
5.2319 3.0206 1.1595
6.6753 2.5005 4.3882
4.9606 4.5307 4.3882
4.0598 2.0307 4.3882
2.8480 3.0466 2.0766
1.1694 0.9431 2.0766
3.8304 0.5412 2.0766
5.2319 3.0206 6.4776

=====

Version Q
Co2Pt6Rh PBE relaxed; magnetization = 0.660 μB per atom; ρ = 17.2 Mg/m³; SG = Cmmm
1.0
-1.1241 0.3595 -2.4629
-3.7841 -2.0196 1.4323
-0.9102 10.2732 4.9426
Co Pt Rh
2 6 1
Cartesian
-1.8131 3.1882 1.2948
-4.8477 4.9752 2.9361
-1.5188 1.2736 -0.6339
-3.5074 7.3422 2.6707
-3.1505 0.8227 1.5591
-1.3545 8.9113 3.4312
-2.0871 5.0535 3.2038
-4.5751 3.1091 1.0276
-2.8732 -1.0538 -0.3567

=====

Stability verdict: version Q, ahead by 340 meV/atom

=====

Version P
Co4PtRh PBE relaxed; magnetization = 1.394 μB per atom; ρ = 11.8 Mg/m³; SG = Cmcm
1.0
-0.6613 1.5499 -3.3098
-4.7714 -5.3104 -1.5333
-3.7413 2.2417 3.8785
Co Pt Rh
8 2 2
Cartesian
-7.5311 -3.2549 -0.0204
-1.6429 1.7360 -0.9443
-4.0164 -0.9057 -1.7070
-5.1576 -0.6132 0.7424
-2.3857 -2.6552 -0.7667
0.0000 0.0000 0.0000
-1.5312 -0.5471 -2.0336
-7.6428 -0.9718 1.0689
-4.2690 1.4813 -0.5390
-4.9050 -3.0002 -0.4257
-6.6657 -1.1656 -1.3002
-2.5083 -0.3533 0.3355

=====

Version Q
Co4PtRh PBE relaxed; magnetization = 1.431 μB per atom; ρ = 11.9 Mg/m³; SG = F-43m
1.0
-2.1226 -0.9281 -4.1205
-0.1663 -4.4353 -1.6268
-4.1069 -2.3398 -0.0689
Co Rh Pt
4 1 1
Cartesian
-1.9438 -3.6446 -3.6008
-3.9143 -2.5967 -2.8218
-3.9975 -4.8146 -3.6353
-2.9360 -4.3505 -1.5747
0.0000 0.0000 0.0000
-1.5990 -1.9258 -1.4541

=====

Version R
Co4PtRh PBE relaxed; magnetization = 1.437 μB per atom; ρ = 11.7 Mg/m³; SG = Immm
1.0
-2.4901 2.5836 1.9357
-6.6409 -0.0433 0.0994
0.1125 -4.1633 5.7016
Co Pt Rh
8 2 2
Cartesian
-3.8383 -3.1908 5.7605
-3.8757 -1.8037 3.8608
-1.7661 -1.8794 6.6771
-5.1428 0.1807 3.8759
-1.8035 -0.4923 4.7775
-7.2524 0.2565 1.0595
-7.2150 -1.1307 2.9592
-5.1803 1.5678 1.9762
-2.8771 0.2402 2.4181
-6.1414 -1.8631 5.3186
-1.5759 -3.1334 4.3011
-4.9526 -1.0732 1.4998

=====

Stability verdict: version P, ahead by 18 meV/atom

=====

Version P
CoPt3Rh4 PBE relaxed; magnetization = 0.367 μB per atom; ρ = 14.5 Mg/m³; SG = Cmmm
1.0
-0.7338 0.8347 -2.4909
3.9146 -0.1909 -1.2172
-3.3975 -10.1742 -2.4125
Rh Co Pt
4 1 3
Cartesian
-1.5314 -7.8852 -3.6885
1.3147 -1.6452 -2.4321
0.9697 -4.1067 -3.1557
-1.1864 -5.4236 -2.9649
1.9573 -0.0955 -0.6086
-0.3669 0.4174 -1.2455
-1.1823 -2.3655 -3.4314
0.9656 -7.1649 -2.6892

=====

Version Q
CoPt3Rh4 PBE relaxed; magnetization = 0.232 μB per atom; ρ = 14.3 Mg/m³; SG = Immm
1.0
-1.4438 -1.3170 -1.8644
2.4360 1.6434 -3.0475
3.7129 -10.2018 6.2878
Co Pt Rh
1 3 4
Cartesian
-0.7219 -0.6585 -0.9322
1.2180 0.8217 -1.5237
3.3685 -1.9002 -1.2663
1.3365 -7.9752 2.6423
2.1105 -4.2414 -0.5947
2.5945 -5.6339 1.9706
1.2684 -1.6075 0.1533
3.4367 -8.2679 1.2227

=====

Stability verdict: version P, ahead by 25 meV/atom

=====

Version P
TiCoPtRh PBE relaxed; magnetization = 0.451 μB per atom; ρ = 11.8 Mg/m³; SG = F-43m
1.0
-0.3614 -4.0309 -1.5121
2.6947 -1.4049 -3.0709
3.0155 -2.9433 0.9535
Co Rh Pt Ti
1 1 1 1
Cartesian
2.6744 -4.1895 -1.8147
1.3372 -2.0948 -0.9074
4.0116 -6.2843 -2.7221
0.0000 0.0000 0.0000

=====

Version Q
TiCoPtRh PBE relaxed; magnetization = 0.001 μB per atom; ρ = 12.3 Mg/m³; SG = Pmmm
1.0
3.7395 0.0000 0.0000
0.0000 3.7827 0.0000
0.0000 0.0000 3.8758
Ti Co Pt Rh
1 1 1 1
Cartesian
0.0000 0.0000 0.0000
0.0000 1.8914 1.9379
1.8698 0.0000 1.9379
1.8698 1.8914 0.0000

=====

Stability verdict: version Q, ahead by 221 meV/atom

=====

Version P
CoRuPt PBE relaxed; magnetization = 0.571 μB per atom; ρ = 14.3 Mg/m³; SG = I4mm
1.0
4.6551 -0.0170 0.0000
2.4887 3.9340 0.0000
-3.5719 -1.9585 2.2530
Co Pt Ru
1 1 1
Cartesian
0.0683 0.0375 0.0000
2.4004 1.3162 0.0000
4.6750 2.5634 0.0000

=====

Version Q
CoRuPt PBE relaxed; magnetization = 0.381 μB per atom; ρ = 14.6 Mg/m³; SG = I4mm
1.0
-5.3917 -2.2109 0.9655
-3.7931 -4.3467 1.2687
-0.2650 0.1801 2.6658
Co Pt Ru
1 1 1
Cartesian
-9.1256 -6.5128 2.2371
-6.1743 -4.2835 2.3799
-3.3349 -2.1388 2.5173

=====

Version R
CoRuPt PBE relaxed; magnetization = 0.143 μB per atom; ρ = 13.0 Mg/m³; SG = F-43m
1.0
4.0022 0.0000 0.0000
2.0011 3.4660 0.0000
2.0011 1.1553 3.2678
Co Pt Ru
1 1 1
Cartesian
6.0033 3.4660 2.4508
0.0000 0.0000 0.0000
4.0022 2.3107 1.6339

=====

Version S
CoRuPt PBE relaxed; magnetization = 0.509 μB per atom; ρ = 14.4 Mg/m³; SG = P3m1
1.0
2.6989 0.0000 0.0000
-1.3494 2.3373 0.0000
0.0000 0.0000 6.4991
Co Pt Ru
1 1 1
Cartesian
0.0000 0.0000 6.4362
1.3494 0.7791 2.1159
0.0000 1.5582 4.4460

=====

Stability verdict: version Q, ahead by 48 meV/atom

=====

Version P
CoPt3S PBE relaxed; magnetization = 0.630 μB per atom; ρ = 11.8 Mg/m³; SG = Pm-3m
1.0
-4.2704 0.8314 -1.3908
0.4071 -3.2441 -3.1894
-1.5684 -3.1059 2.9590
S Co Pt
1 1 3
Cartesian
-2.7158 -2.7593 -0.8106
0.0000 0.0000 0.0000
0.2036 -1.6220 -1.5947
-0.7842 -1.5530 1.4795
-2.1352 0.4157 -0.6954

=====

Version Q
CoPt3S PBE relaxed; magnetization = 0.441 μB per atom; ρ = 12.6 Mg/m³; SG = Pm-3m
1.0
-1.6062 -0.8703 4.0811
-2.5827 -3.2274 -1.7048
3.2776 -2.9697 0.6566
S Co Pt
1 1 3
Cartesian
0.0000 0.0000 0.0000
-0.4557 -3.5337 1.5165
-1.2914 -1.6137 -0.8524
1.6388 -1.4848 0.3283
-0.8031 -0.4352 2.0405

=====

Stability verdict: version Q, ahead by 595 meV/atom